A) # YEr3Ag2, optimized geometry, DFT GGA-PBE
# M_tot	0.000	μB per atom
data_YEr3Ag2
_symmetry_space_group_name_H-M 'I b a m'
_symmetry_Int_Tables_number 72
_symmetry_space_group_name_Hall '-I 2 2c'
_cell_length_a 7.002
_cell_length_b 13.883
_cell_length_c 7.347
_cell_angle_alpha 90.00
_cell_angle_beta 90.00
_cell_angle_gamma 90.00
loop_
_atom_site_label
_atom_site_fract_x
_atom_site_fract_y
_atom_site_fract_z
Y1 0.000 0.000 0.000
Er1 0.000 0.229 0.250
Er2 0.000 0.500 0.250
Ag1 0.200 0.357 0.000

=====

B) # YEr3Ag2, optimized geometry, DFT GGA-PBE
# M_tot	0.000	μB per atom
data_YEr3Ag2
_symmetry_space_group_name_H-M 'P 4/m m m'
_symmetry_Int_Tables_number 123
_symmetry_space_group_name_Hall '-P 4 2'
_cell_length_a 3.593
_cell_length_b 3.593
_cell_length_c 12.196
_cell_angle_alpha 90.00
_cell_angle_beta 90.00
_cell_angle_gamma 90.00
loop_
_atom_site_label
_atom_site_fract_x
_atom_site_fract_y
_atom_site_fract_z
Y1 0.000 0.000 0.000
Er1 0.500 0.500 0.203
Er2 0.500 0.500 0.500
Ag1 0.000 0.000 0.351

=====

Tell me which of them is the most stable. Sure, it is B).

=====

A) # Y3ErAg2, optimized geometry, DFT GGA-PBE
# M_tot	0.000	μB per atom
data_Y3ErAg2
_symmetry_space_group_name_H-M 'I b a m'
_symmetry_Int_Tables_number 72
_symmetry_space_group_name_Hall '-I 2 2c'
_cell_length_a 7.032
_cell_length_b 13.955
_cell_length_c 7.429
_cell_angle_alpha 90.00
_cell_angle_beta 90.00
_cell_angle_gamma 90.00
loop_
_atom_site_label
_atom_site_fract_x
_atom_site_fract_y
_atom_site_fract_z
Y1 0.000 0.000 0.250
Y2 0.000 0.272 0.250
Er1 0.000 0.500 0.000
Ag1 0.203 0.141 0.000

=====

B) # Y3ErAg2, optimized geometry, DFT GGA-PBE
# M_tot	0.000	μB per atom
data_Y3ErAg2
_symmetry_space_group_name_H-M 'P m c 21'
_symmetry_Int_Tables_number 26
_cell_length_a 5.092
_cell_length_b 9.128
_cell_length_c 6.958
_cell_angle_alpha 90.00
_cell_angle_beta 90.00
_cell_angle_gamma 90.00
loop_
_symmetry_equiv_pos_as_xyz
'x,y,z'
'-x,-y,z+1/2'
'-x,y,z'
'x,-y,z+1/2'
loop_
_atom_site_label
_atom_site_fract_x
_atom_site_fract_y
_atom_site_fract_z
Y1 0.000 0.063 0.000
Y2 0.000 0.331 0.361
Y3 0.500 0.173 0.668
Er1 0.500 0.436 0.031
Ag1 0.000 0.350 0.783
Ag2 0.500 0.151 0.247

=====

Tell me which of them is the most stable. Sure, it is B).

=====

A) # Y2ErAg, optimized geometry, DFT GGA-PBE
# M_tot	0.000	μB per atom
data_Y2ErAg
_symmetry_space_group_name_H-M 'P 4/m m m'
_symmetry_Int_Tables_number 123
_symmetry_space_group_name_Hall '-P 4 2'
_cell_length_a 5.408
_cell_length_b 5.408
_cell_length_c 3.766
_cell_angle_alpha 90.00
_cell_angle_beta 90.00
_cell_angle_gamma 90.00
loop_
_atom_site_label
_atom_site_fract_x
_atom_site_fract_y
_atom_site_fract_z
Y1 0.000 0.500 0.000
Er1 0.000 0.000 0.500
Ag1 0.500 0.500 0.500

=====

B) # Y2ErAg, optimized geometry, DFT GGA-PBE
# M_tot	0.000	μB per atom
data_Y2ErAg
_symmetry_space_group_name_H-M 'P n m a'
_symmetry_Int_Tables_number 62
_cell_length_a 6.896
_cell_length_b 9.722
_cell_length_c 6.792
_cell_angle_alpha 90.00
_cell_angle_beta 90.00
_cell_angle_gamma 90.00
loop_
_symmetry_equiv_pos_as_xyz
'x,y,z'
'-x,-y,-z'
'-x+1/2,-y,z+1/2'
'x+1/2,y,-z+1/2'
'x+1/2,-y+1/2,-z+1/2'
'-x+1/2,y+1/2,z+1/2'
'-x,y+1/2,-z'
'x,-y+1/2,z'
loop_
_atom_site_label
_atom_site_fract_x
_atom_site_fract_y
_atom_site_fract_z
Y1 0.208 0.051 0.205
Er1 0.008 0.250 0.606
Ag1 0.066 0.750 0.978

=====

C) # Y2ErAg, optimized geometry, DFT GGA-PBE
# M_tot	0.099	μB per atom
data_Y2ErAg
_symmetry_space_group_name_H-M 'R 3 m'
_symmetry_Int_Tables_number 160
_symmetry_space_group_name_Hall 'R 3 -2"'
_cell_length_a 3.6110
_cell_length_b 3.6110
_cell_length_c 30.8249
_cell_angle_alpha 90.00
_cell_angle_beta 90.00
_cell_angle_gamma 120.00
loop_
_atom_site_label
_atom_site_fract_x
_atom_site_fract_y
_atom_site_fract_z
Y1 0.0000 0.0000 0.0000
Y2 0.0000 0.0000 0.1835
Er1 0.0000 0.0000 0.7582
Ag1 0.0000 0.0000 0.5919

=====

Tell me which of them is the most stable. Sure, it is B).

=====

A) # Y2ErAg, optimized geometry, DFT GGA-PBE
# M_tot	0.000	μB per atom
data_Y2ErAg
_symmetry_space_group_name_H-M 'P 4/m m m'
_symmetry_Int_Tables_number 123
_symmetry_space_group_name_Hall '-P 4 2'
_cell_length_a 3.562
_cell_length_b 3.562
_cell_length_c 8.866
_cell_angle_alpha 90.00
_cell_angle_beta 90.00
_cell_angle_gamma 90.00
loop_
_atom_site_label
_atom_site_fract_x
_atom_site_fract_y
_atom_site_fract_z
Y1 0.000 0.000 0.216
Er1 0.500 0.500 0.500
Ag1 0.500 0.500 0.000

=====

B) # Y2ErAg, optimized geometry, DFT GGA-PBE
# M_tot	0.000	μB per atom
data_Y2ErAg
_symmetry_space_group_name_H-M 'C 1 2/c 1'
_symmetry_Int_Tables_number 15
_cell_length_a 11.491
_cell_length_b 6.973
_cell_length_c 6.734
_cell_angle_alpha 90.00
_cell_angle_beta 123.44
_cell_angle_gamma 90.00
loop_
_symmetry_equiv_pos_as_xyz
'x,y,z'
'-x,-y,-z'
'-x,y,-z+1/2'
'x,-y,z+1/2'
'x+1/2,y+1/2,z'
'-x+1/2,-y+1/2,-z'
'-x+1/2,y+1/2,-z+1/2'
'x+1/2,-y+1/2,z+1/2'
loop_
_atom_site_label
_atom_site_fract_x
_atom_site_fract_y
_atom_site_fract_z
Y1 0.204 0.038 0.168
Er1 0.000 0.339 0.250
Ag1 0.000 0.255 0.750

=====

Tell me which of them is the most stable. Sure, it is A).